{"formula": "LiNi3Pt", "functional": "meta-GGA SCAN", "state": "PBEsol geometry", "lattice_angstrom": [[4.573, 0.000, 0.000], [0.000, 4.573, 0.000], [0.000, 0.000, 4.573]], "species": ["Pt", "Ni", "Ni", "Ni", "Li"], "fractional_positions": [[0.000, 0.000, 0.000], [0.000, 0.500, 0.000], [0.000, 0.000, 0.500], [0.500, 0.000, 0.000], [0.500, 0.500, 0.500]], "dos_ef_per_ev_cell": 4.466, "space_group": "Pm-3m, No. 221", "final_energy_ev_per_atom": -23.40}

---

{"formula": "RbLi3Ni", "functional": "meta-GGA SCAN", "state": "PBEsol geometry", "lattice_angstrom": [[4.976, 0.000, 0.000], [0.000, 4.976, 0.000], [0.000, 0.000, 4.976]], "species": ["Li", "Li", "Li", "Rb", "Ni"], "fractional_positions": [[0.000, 0.000, 0.500], [0.000, 0.500, 0.000], [0.500, 0.000, 0.000], [0.500, 0.500, 0.500], [0.000, 0.000, 0.000]], "dos_ef_per_ev_cell": 2.587, "space_group": "Pm-3m, No. 221", "final_energy_ev_per_atom": -8.46}